1.
Density functional theory data (PBE) for a relaxed LiUTa4N8 crystal.

Properties
* formation energy without anion corrections: -0.9583 eV per atom
* magnetic moment: 0.0 μB/cell
* calculated volume: 174.3 Å³ per cell

Unit cell a=6.379 b=6.379 c=6.167 alpha=58.86 beta=58.86 gamma=60.00
Positions (direct):
Li1 0.999 0.999 0.004
U1 0.409 0.409 0.774
Ta1 0.625 0.625 0.125
Ta2 0.005 0.490 0.499
Ta3 0.490 0.005 0.499
Ta4 0.005 0.005 0.499
N1 0.232 0.796 0.739
N2 0.796 0.232 0.739
N3 0.232 0.232 0.739
N4 0.248 0.248 0.256
N5 0.727 0.247 0.299
N6 0.247 0.727 0.299
N7 0.727 0.727 0.299
N8 0.757 0.757 0.728

=====

2.
Density functional theory data (PBE) for a relaxed Pm3Cd crystal.

Properties
* energy above the lowest structure with this stoichiometry: 43 meV per atom
* magnetic moment: 0.0 μB/cell
* calculated volume: 122.8 Å³ per cell
* ΔH_f (0 K): -0.38 eV per formula unit

Unit cell a=3.700 b=4.723 c=7.028 alpha=90.00 beta=90.00 gamma=90.00
Positions (direct):
Pm1 0.000 0.000 0.500
Pm2 0.500 0.500 0.237
Pm3 0.500 0.500 0.763
Cd1 0.000 0.000 0.000

=====

3.
Density functional theory data (PBE) for a relaxed Sm6Y3Ho2Th crystal.

Properties
* magnetic moment: 0.0 μB/cell
* calculated volume: 394.1 Å³ per cell
* ΔH_f (0 K): 0.34 eV per formula unit

Unit cell a=6.224 b=6.224 c=11.924 alpha=95.00 beta=95.00 gamma=119.95
Positions (direct):
Sm1 0.917 0.586 0.752
Sm2 0.753 0.753 0.248
Sm3 0.083 0.414 0.248
Sm4 0.586 0.917 0.752
Sm5 0.247 0.247 0.752
Sm6 0.414 0.083 0.248
Y1 0.167 0.833 0.500
Y2 0.833 0.167 0.500
Y3 0.500 0.500 0.500
Ho1 0.333 0.667 0.000
Ho2 0.667 0.333 0.000
Th1 0.000 0.000 0.000